VASP calculation (PBE-GGA) on crystalline Te2IrC at its relaxed geometry.

a b c (Å): 8.5334 8.5334 8.5334
angles (deg): 21.82 21.82 21.82
Last column: nearest neighbours and their distance in Å.
Fractional coordinates of all 4 atoms:
Ir  0.0000  0.0000  0.0000  2 Te 2.57
C  0.5000  0.5000  0.5000  6 Te 2.45
Te  0.1030  0.1030  0.1030  3 C 2.45, 1 Ir 2.57
Te  0.8970  0.8970  0.8970  3 C 2.45, 1 Ir 2.57

Results
Space-group type ... R-3m
E_form (uncorrected) ... 1.4464 eV per atom
Density of states at the Fermi level ... 0.86 states/eV/atom
Crystal system ... trigonal

VASP calculation (PBE-GGA) on crystalline Zr2RuPbSe at its relaxed geometry.

a b c (Å): 5.3895 5.1555 5.3895
angles (deg): 90.00 90.00 90.00
Last column: nearest neighbours and their distance in Å.
Fractional coordinates of all 5 atoms:
Zr  0.5000  0.0000  0.0000  2 Pb 2.69
Zr  0.0000  0.0000  0.5000  2 Pb 2.69
Pb  0.0000  0.0000  0.0000  2 Se 2.58, 4 Zr 2.69
Ru  0.5000  0.5000  0.5000  8 Zr 3.73, 4 Se 3.81
Se  0.0000  0.5000  0.0000  2 Pb 2.58

Results
Space-group type ... P4/mmm
E_form (uncorrected) ... 1.7671 eV per atom
Density of states at the Fermi level ... 1.11 states/eV/atom
Crystal system ... tetragonal

VASP calculation (PBE-GGA) on crystalline CuNiB2Ir at its relaxed geometry.

a b c (Å): 3.6548 4.8926 3.6548
angles (deg): 90.00 90.00 90.00
Last column: nearest neighbours and their distance in Å.
Fractional coordinates of all 5 atoms:
Cu  0.5000  0.5000  0.5000  4 Ir 2.58
B  0.5000  0.0000  0.0000  2 Ni 1.83
B  0.0000  0.0000  0.5000  2 Ni 1.83
Ir  0.0000  0.5000  0.0000  2 Ni 2.45, 4 Cu 2.58
Ni  0.0000  0.0000  0.0000  4 B 1.83

Results
Space-group type ... P4/mmm
Density of states at the Fermi level ... 1.01 states/eV/atom
Crystal system ... tetragonal
Energy relative to the elements ... 5.76 eV/f.u.

VASP calculation (PBE-GGA) on crystalline CaPm4Tc at its relaxed geometry.

a b c (Å): 6.1211 6.9504 9.5207
angles (deg): 90.00 102.45 90.00
Last column: nearest neighbours and their distance in Å.
Fractional coordinates of all 12 atoms:
Pm  0.3653  0.7500  0.9370  1 Tc 2.77
Pm  0.2864  0.2500  0.6779  1 Tc 2.78
Pm  0.6347  0.2500  0.0630  1 Tc 2.77
Pm  0.8427  0.9935  0.7993  2 Tc 2.86-2.98
Pm  0.8427  0.5065  0.7993  2 Tc 2.86-2.98
Pm  0.7136  0.7500  0.3221  1 Tc 2.78
Pm  0.1573  0.4935  0.2007  2 Tc 2.86-2.98
Pm  0.1573  0.0065  0.2007  2 Tc 2.86-2.98
Ca  0.7182  0.2500  0.4480  7 Pm 3.59-3.78
Ca  0.2818  0.7500  0.5520  7 Pm 3.59-3.78
Tc  0.8203  0.7500  0.0528  6 Pm 2.77-2.98
Tc  0.1797  0.2500  0.9472  6 Pm 2.77-2.98

Results
Space-group type ... P2_1/m
Density of states at the Fermi level ... 1.23 states/eV/atom
Crystal system ... monoclinic
Energy relative to the elements ... 0.48 eV/f.u.

VASP calculation (PBE-GGA) on crystalline CdAgTe2N at its relaxed geometry.

a b c (Å): 5.7906 5.7906 3.9882
angles (deg): 90.00 90.00 90.00
Last column: nearest neighbours and their distance in Å.
Fractional coordinates of all 5 atoms:
Te  0.0000  0.5000  0.0000  2 Cd 2.90
Te  0.5000  0.0000  0.0000  2 Cd 2.90
N  0.0000  0.0000  0.5000  2 Cd 1.99
Ag  0.5000  0.5000  0.5000  8 Te 3.52
Cd  0.0000  0.0000  0.0000  2 N 1.99

Results
Space-group type ... P4/mmm
E_form (uncorrected) ... 1.1541 eV per atom
Density of states at the Fermi level ... 1.44 states/eV/atom
Crystal system ... tetragonal
ΔE to the lowest computed polymorph ... 1.05 eV per formula unit

VASP calculation (PBE-GGA) on crystalline YIn2Pt at its relaxed geometry.

a b c (Å): 4.3382 4.3382 4.7029
angles (deg): 90.00 90.00 90.00
Last column: nearest neighbours and their distance in Å.
Fractional coordinates of all 4 atoms:
Pt  0.5000  0.0000  0.5000  4 Y 3.07, 8 In 3.20
In  0.5000  0.5000  0.0000  4 In 3.07, 4 Pt 3.20, 4 Y 3.20
In  0.0000  0.0000  0.0000  4 In 3.07, 4 Pt 3.20, 4 Y 3.20
Y  0.0000  0.5000  0.5000  4 Pt 3.07, 8 In 3.20

Results
Space-group type ... P4/mmm
Density of states at the Fermi level ... 0.73 states/eV/atom
Crystal system ... tetragonal
Energy relative to the elements ... -2.29 eV/f.u.

VASP calculation (PBE-GGA) on crystalline La2BeTl at its relaxed geometry.

a b c (Å): 8.4911 8.4911 6.7906
angles (deg): 51.30 51.30 90.00
Last column: nearest neighbours and their distance in Å.
Fractional coordinates of all 8 atoms:
La  0.3750  0.4279  0.7500  2 Be 2.82
La  0.1779  0.6250  0.2500  2 Be 2.82
La  0.8750  0.8221  0.7500  2 Be 2.82
La  0.5721  0.1250  0.2500  2 Be 2.82
Be  0.2500  0.7500  0.5000  4 La 2.82
Be  0.5000  0.5000  0.0000  4 La 2.82
Tl  0.0000  0.0000  0.0000  2 Be 3.17, 4 La 3.43
Tl  0.7500  0.2500  0.5000  2 Be 3.17, 4 La 3.43

Results
Space-group type ... I-42d
Density of states at the Fermi level ... 1.82 states/eV/atom
Crystal system ... tetragonal
Energy relative to the elements ... 0.93 eV/f.u.
ΔE to the lowest computed polymorph ... 1.34 eV per formula unit

VASP calculation (PBE-GGA) on crystalline V2SnWC at its relaxed geometry.

a b c (Å): 4.1042 4.1755 4.1042
angles (deg): 90.00 90.00 90.00
Last column: nearest neighbours and their distance in Å.
Fractional coordinates of all 5 atoms:
C  0.0000  0.0000  0.0000  4 V 2.05, 2 W 2.09
V  0.5000  0.0000  0.0000  2 C 2.05
V  0.0000  0.0000  0.5000  2 C 2.05
W  0.0000  0.5000  0.0000  2 C 2.09
Sn  0.5000  0.5000  0.5000  4 W 2.90, 8 V 2.93

Results
Space-group type ... P4/mmm
Density of states at the Fermi level ... 0.80 states/eV/atom
Crystal system ... tetragonal
Energy relative to the elements ... 0.06 eV/f.u.

VASP calculation (PBE-GGA) on crystalline Pm2Ag3SnTe6 at its relaxed geometry.

a b c (Å): 4.3612 8.4189 10.3841
angles (deg): 100.92 102.12 90.00
Last column: nearest neighbours and their distance in Å.
Fractional coordinates of all 12 atoms:
Te  0.3350  0.4216  0.6700  2 Ag 2.90, 3 Pm 3.17-3.19
Te  0.9869  0.7254  0.9737  2 Ag 2.94, 2 Sn 3.15, 1 Pm 3.26
Te  0.6587  0.0380  0.3173  1 Ag 2.85, 2 Pm 3.14, 1 Sn 3.18
Te  0.0131  0.2746  0.0263  2 Ag 2.94, 2 Sn 3.15, 1 Pm 3.26
Te  0.6650  0.5784  0.3300  2 Ag 2.90, 3 Pm 3.17-3.19
Te  0.3413  0.9620  0.6827  1 Ag 2.85, 2 Pm 3.14, 1 Sn 3.18
Ag  0.5000  0.5000  0.0000  6 Te 2.94-3.29
Ag  0.7958  0.1967  0.5917  3 Te 2.85-2.90
Ag  0.2042  0.8033  0.4083  3 Te 2.85-2.90
Pm  0.8243  0.6886  0.6486  6 Te 3.14-3.26
Pm  0.1757  0.3114  0.3514  6 Te 3.14-3.26
Sn  0.5000  0.0000  0.0000  6 Te 3.15-3.18

Results
Space-group type ... C2/m
E_form (uncorrected) ... -0.6149 eV per atom
Density of states at the Fermi level ... 0.30 states/eV/atom
Crystal system ... monoclinic